Entry 1:
# K2MnBe (SCAN, PBEsol geometry)
data_K2MnBe
_cell_length_a 4.050
_cell_length_b 4.050
_cell_length_c 9.541
_cell_angle_alpha 100.91
_cell_angle_beta 100.91
_cell_angle_gamma 59.90
_symmetry_space_group_name_H-M 'P 1'
_symmetry_Int_Tables_number 1
loop_
_symmetry_equiv_pos_as_xyz
'x,y,z'
loop_
_atom_site_label
_atom_site_type_symbol
_atom_site_fract_x
_atom_site_fract_y
_atom_site_fract_z
K1 K 0.000 0.000 0.000
K2 K 0.161 0.161 0.542
Mn1 Mn 0.747 0.747 0.271
Be1 Be 0.414 0.414 0.271
# **Raw total energy**: -0.681 Ry/atom
# **Space group**: Cm, No. 8

---

Entry 2:
# Sr2NdBeO5 (SCAN, PBEsol geometry)
data_Sr2NdBeO5
_cell_length_a 9.488
_cell_length_b 7.395
_cell_length_c 6.531
_cell_angle_alpha 90.00
_cell_angle_beta 90.00
_cell_angle_gamma 90.00
_symmetry_space_group_name_H-M 'P 1'
_symmetry_Int_Tables_number 1
loop_
_symmetry_equiv_pos_as_xyz
'x,y,z'
loop_
_atom_site_label
_atom_site_type_symbol
_atom_site_fract_x
_atom_site_fract_y
_atom_site_fract_z
Sr1 Sr 0.173 0.025 0.087
Sr2 Sr 0.173 0.475 0.087
Sr3 Sr 0.327 0.525 0.587
Sr4 Sr 0.327 0.975 0.587
Sr5 Sr 0.673 0.025 0.413
Sr6 Sr 0.673 0.475 0.413
Sr7 Sr 0.827 0.525 0.913
Sr8 Sr 0.827 0.975 0.913
Nd1 Nd 0.030 0.250 0.596
Nd2 Nd 0.470 0.750 0.096
Nd3 Nd 0.530 0.250 0.904
Nd4 Nd 0.970 0.750 0.404
Be1 Be 0.100 0.750 0.811
Be2 Be 0.400 0.250 0.311
Be3 Be 0.600 0.750 0.689
Be4 Be 0.900 0.250 0.189
O1 O 0.013 0.750 0.033
O2 O 0.062 0.564 0.688
O3 O 0.062 0.936 0.688
O4 O 0.226 0.750 0.323
O5 O 0.230 0.250 0.373
O6 O 0.270 0.750 0.873
O7 O 0.274 0.250 0.823
O8 O 0.438 0.064 0.188
O9 O 0.438 0.436 0.188
O10 O 0.487 0.250 0.533
O11 O 0.513 0.750 0.467
O12 O 0.562 0.564 0.812
O13 O 0.562 0.936 0.812
O14 O 0.726 0.750 0.177
O15 O 0.730 0.250 0.127
O16 O 0.770 0.750 0.627
O17 O 0.774 0.250 0.677
O18 O 0.938 0.064 0.312
O19 O 0.938 0.436 0.312
O20 O 0.987 0.250 0.967
# **Energy relative to the elements, uncorrected**: -3.036 eV/atom
# **Space group**: Pnma, No. 62

---

Entry 3:
# BaTiGe3O9 (SCAN, PBEsol geometry)
data_BaTiGe3O9
_cell_length_a 6.812
_cell_length_b 6.812
_cell_length_c 10.219
_cell_angle_alpha 90.00
_cell_angle_beta 90.00
_cell_angle_gamma 120.00
_symmetry_space_group_name_H-M 'P 1'
_symmetry_Int_Tables_number 1
loop_
_symmetry_equiv_pos_as_xyz
'x,y,z'
loop_
_atom_site_label
_atom_site_type_symbol
_atom_site_fract_x
_atom_site_fract_y
_atom_site_fract_z
Ba1 Ba 0.000 0.000 0.000
Ba2 Ba 0.000 0.000 0.500
Ti1 Ti 0.333 0.667 0.000
Ti2 Ti 0.333 0.667 0.500
Ge1 Ge 0.444 0.032 0.250
Ge2 Ge 0.444 0.412 0.750
Ge3 Ge 0.588 0.032 0.750
Ge4 Ge 0.588 0.556 0.250
Ge5 Ge 0.968 0.412 0.250
Ge6 Ge 0.968 0.556 0.750
O1 O 0.110 0.418 0.107
O2 O 0.110 0.418 0.393
O3 O 0.110 0.692 0.607
O4 O 0.110 0.692 0.893
O5 O 0.308 0.418 0.607
O6 O 0.308 0.418 0.893
O7 O 0.308 0.890 0.107
O8 O 0.308 0.890 0.393
O9 O 0.390 0.127 0.750
O10 O 0.390 0.263 0.250
O11 O 0.582 0.692 0.107
O12 O 0.582 0.692 0.393
O13 O 0.582 0.890 0.607
O14 O 0.582 0.890 0.893
O15 O 0.737 0.127 0.250
O16 O 0.737 0.610 0.750
O17 O 0.873 0.263 0.750
O18 O 0.873 0.610 0.250
# **Energy relative to the elements, uncorrected**: -2.383 eV/atom
# **Space group**: P-6c2, No. 188

---

Entry 4:
# Mn2ZnCdS (SCAN, PBEsol geometry)
data_Mn2ZnCdS
_cell_length_a 4.972
_cell_length_b 4.972
_cell_length_c 4.706
_cell_angle_alpha 90.00
_cell_angle_beta 90.00
_cell_angle_gamma 90.00
_symmetry_space_group_name_H-M 'P 1'
_symmetry_Int_Tables_number 1
loop_
_symmetry_equiv_pos_as_xyz
'x,y,z'
loop_
_atom_site_label
_atom_site_type_symbol
_atom_site_fract_x
_atom_site_fract_y
_atom_site_fract_z
Mn1 Mn 0.000 0.500 0.000
Mn2 Mn 0.500 0.000 0.000
Zn1 Zn 0.000 0.000 0.500
Cd1 Cd 0.000 0.000 0.000
S1 S 0.500 0.500 0.500
# **Energy relative to the elements, uncorrected**: 0.684 eV/atom
# **Space group**: P4/mmm, No. 123

---

Entry 5:
# LiNbIN2 (SCAN, PBEsol geometry)
data_LiNbIN2
_cell_length_a 4.019
_cell_length_b 4.019
_cell_length_c 5.835
_cell_angle_alpha 90.00
_cell_angle_beta 90.00
_cell_angle_gamma 90.00
_symmetry_space_group_name_H-M 'P 1'
_symmetry_Int_Tables_number 1
loop_
_symmetry_equiv_pos_as_xyz
'x,y,z'
loop_
_atom_site_label
_atom_site_type_symbol
_atom_site_fract_x
_atom_site_fract_y
_atom_site_fract_z
Li1 Li 0.000 0.000 0.000
Nb1 Nb 0.500 0.500 0.500
I1 I 0.500 0.500 0.000
N1 N 0.000 0.500 0.500
N2 N 0.500 0.000 0.500
# **Energy relative to the elements, uncorrected**: -0.145 eV/atom
# **Space group**: P4/mmm, No. 123

---

Entry 6:
# Ga2GeAuI (SCAN, PBEsol geometry)
data_Ga2GeAuI
_cell_length_a 4.996
_cell_length_b 4.996
_cell_length_c 5.358
_cell_angle_alpha 90.00
_cell_angle_beta 90.00
_cell_angle_gamma 90.00
_symmetry_space_group_name_H-M 'P 1'
_symmetry_Int_Tables_number 1
loop_
_symmetry_equiv_pos_as_xyz
'x,y,z'
loop_
_atom_site_label
_atom_site_type_symbol
_atom_site_fract_x
_atom_site_fract_y
_atom_site_fract_z
Ga1 Ga 0.000 0.500 0.000
Ga2 Ga 0.500 0.000 0.000
Ge1 Ge 0.000 0.000 0.000
Au1 Au 0.500 0.500 0.500
I1 I 0.000 0.000 0.500
# **Energy relative to the elements, uncorrected**: 0.588 eV/atom
# **Space group**: P4/mmm, No. 123

---

Entry 7:
# LiHfMn2Sb (SCAN, PBEsol geometry)
data_LiHfMn2Sb
_cell_length_a 4.901
_cell_length_b 4.901
_cell_length_c 5.311
_cell_angle_alpha 90.00
_cell_angle_beta 90.00
_cell_angle_gamma 90.00
_symmetry_space_group_name_H-M 'P 1'
_symmetry_Int_Tables_number 1
loop_
_symmetry_equiv_pos_as_xyz
'x,y,z'
loop_
_atom_site_label
_atom_site_type_symbol
_atom_site_fract_x
_atom_site_fract_y
_atom_site_fract_z
Li1 Li 0.000 0.000 0.000
Hf1 Hf 0.500 0.500 0.000
Mn1 Mn 0.000 0.500 0.500
Mn2 Mn 0.500 0.000 0.500
Sb1 Sb 0.500 0.500 0.500
# **Energy relative to the elements, uncorrected**: 0.751 eV/atom
# **Space group**: P4/mmm, No. 123

---

Entry 8:
# SiSn2MoN (SCAN, PBEsol geometry)
data_SiSn2MoN
_cell_length_a 5.350
_cell_length_b 5.350
_cell_length_c 3.762
_cell_angle_alpha 90.00
_cell_angle_beta 90.00
_cell_angle_gamma 90.00
_symmetry_space_group_name_H-M 'P 1'
_symmetry_Int_Tables_number 1
loop_
_symmetry_equiv_pos_as_xyz
'x,y,z'
loop_
_atom_site_label
_atom_site_type_symbol
_atom_site_fract_x
_atom_site_fract_y
_atom_site_fract_z
Si1 Si 0.000 0.000 0.000
Sn1 Sn 0.000 0.500 0.500
Sn2 Sn 0.500 0.000 0.500
Mo1 Mo 0.500 0.500 0.500
N1 N 0.500 0.500 0.000
# **Energy relative to the elements, uncorrected**: 0.770 eV/atom
# **Space group**: P4/mmm, No. 123

---

Entry 9:
# CaHgAs2 (SCAN, PBEsol geometry)
data_CaHgAs2
_cell_length_a 5.949
_cell_length_b 5.949
_cell_length_c 5.949
_cell_angle_alpha 142.47
_cell_angle_beta 134.00
_cell_angle_gamma 60.81
_symmetry_space_group_name_H-M 'P 1'
_symmetry_Int_Tables_number 1
loop_
_symmetry_equiv_pos_as_xyz
'x,y,z'
loop_
_atom_site_label
_atom_site_type_symbol
_atom_site_fract_x
_atom_site_fract_y
_atom_site_fract_z
Ca1 Ca 0.000 0.000 0.000
Hg1 Hg 0.284 0.784 0.500
As1 As 0.522 0.522 0.000
As2 As 0.694 0.194 0.500
# **Raw total energy**: -2.207 Ry/atom
# **Space group**: Imm2, No. 44

---

Entry 10:
# Tc3WO (SCAN, PBEsol geometry)
data_Tc3WO
_cell_length_a 4.661
_cell_length_b 4.661
_cell_length_c 4.661
_cell_angle_alpha 90.00
_cell_angle_beta 90.00
_cell_angle_gamma 90.00
_symmetry_space_group_name_H-M 'P 1'
_symmetry_Int_Tables_number 1
loop_
_symmetry_equiv_pos_as_xyz
'x,y,z'
loop_
_atom_site_label
_atom_site_type_symbol
_atom_site_fract_x
_atom_site_fract_y
_atom_site_fract_z
Tc1 Tc 0.000 0.000 0.500
Tc2 Tc 0.000 0.500 0.000
Tc3 Tc 0.500 0.000 0.000
W1 W 0.000 0.000 0.000
O1 O 0.500 0.500 0.500
# **Energy relative to the elements, uncorrected**: 2.355 eV/atom
# **Space group**: Pm-3m, No. 221

---

Entry 11:
# Be3BiN (SCAN, PBEsol geometry)
data_Be3BiN
_cell_length_a 4.551
_cell_length_b 4.551
_cell_length_c 4.551
_cell_angle_alpha 90.00
_cell_angle_beta 90.00
_cell_angle_gamma 90.00
_symmetry_space_group_name_H-M 'P 1'
_symmetry_Int_Tables_number 1
loop_
_symmetry_equiv_pos_as_xyz
'x,y,z'
loop_
_atom_site_label
_atom_site_type_symbol
_atom_site_fract_x
_atom_site_fract_y
_atom_site_fract_z
Be1 Be 0.000 0.000 0.500
Be2 Be 0.000 0.500 0.000
Be3 Be 0.500 0.000 0.000
Bi1 Bi 0.000 0.000 0.000
N1 N 0.500 0.500 0.500
# **Energy relative to the elements, uncorrected**: 2.356 eV/atom
# **Space group**: Pm-3m, No. 221

---

Entry 12:
# HPd2Pb (SCAN, PBEsol geometry)
data_HPd2Pb
_cell_length_a 5.327
_cell_length_b 5.327
_cell_length_c 5.327
_cell_angle_alpha 110.12
_cell_angle_beta 110.12
_cell_angle_gamma 108.19
_symmetry_space_group_name_H-M 'P 1'
_symmetry_Int_Tables_number 1
loop_
_symmetry_equiv_pos_as_xyz
'x,y,z'
loop_
_atom_site_label
_atom_site_type_symbol
_atom_site_fract_x
_atom_site_fract_y
_atom_site_fract_z
H1 H 0.000 0.000 0.000
H2 H 0.750 0.250 0.500
Pd1 Pd 0.375 0.015 0.140
Pd2 Pd 0.765 0.625 0.640
Pd3 Pd 0.875 0.235 0.860
Pd4 Pd 0.985 0.125 0.360
Pb1 Pb 0.250 0.750 0.500
Pb2 Pb 0.500 0.500 0.000
# **ΔE to the lowest computed polymorph**: 0.000 eV per atom
# **Space group**: I-42d, No. 122